#i
This record from Alexandria via LeMat-Bulk describes Sc2SnAu2 at its PBEsol-relaxed geometry. The functional is meta-GGA SCAN.

The structure in POSCAR format:
```
Sc2SnAu2
1.0
-0.682 -1.359 -3.121
3.986 -6.144 1.804
-6.229 -3.229 2.767
Au Sc Sn
4 4 2
Direct
0.000 0.870 0.630
0.000 0.370 0.870
0.000 0.630 0.130
0.000 0.130 0.370
0.500 0.668 0.832
0.500 0.332 0.168
0.500 0.168 0.668
0.500 0.832 0.332
0.000 0.000 0.000
0.000 0.500 0.500
```

## Properties
SG: No. 127

=====

#ii
This record from Alexandria via LeMat-Bulk describes Sc2SnAu2 at its PBEsol-relaxed geometry. The functional is meta-GGA SCAN.

The structure in POSCAR format:
```
Sc2SnAu2
1.0
-1.024 -0.177 6.908
5.888 -4.578 0.755
4.508 5.933 0.820
Au Sn Sc
8 4 8
Direct
0.290 0.130 0.870
0.790 0.630 0.630
0.210 0.630 0.630
0.290 0.870 0.130
0.790 0.370 0.370
0.710 0.870 0.130
0.210 0.370 0.370
0.710 0.130 0.870
0.750 0.500 0.000
0.250 0.500 0.000
0.250 0.000 0.500
0.750 0.000 0.500
0.500 0.812 0.812
0.500 0.648 0.352
0.500 0.188 0.188
0.000 0.148 0.148
0.000 0.688 0.312
0.000 0.852 0.852
0.500 0.352 0.648
0.000 0.312 0.688
```

## Properties
SG: No. 136

=====

It is #ii that is the most stable of them.

=====

#i
This record from Alexandria via LeMat-Bulk describes ScTaAu2 at its PBEsol-relaxed geometry. The functional is meta-GGA SCAN.

The structure in POSCAR format:
```
ScTaAu2
1.0
-0.075 0.682 -4.615
-2.939 -2.448 -2.673
-3.656 2.112 -1.987
Ta Au Sc
1 2 1
Direct
0.500 0.500 0.500
0.750 0.750 0.750
0.250 0.250 0.250
0.000 0.000 0.000
```

## Properties
SG: No. 225

=====

#ii
This record from Alexandria via LeMat-Bulk describes ScTaAu2 at its PBEsol-relaxed geometry. The functional is meta-GGA SCAN.

The structure in POSCAR format:
```
ScTaAu2
1.0
3.027 0.000 0.000
0.000 3.027 0.000
0.000 0.000 7.887
Au Ta Sc
2 1 1
Direct
0.000 0.000 0.997
0.500 0.500 0.249
0.500 0.500 0.761
0.000 0.000 0.493
```

## Properties
SG: No. 99

=====

It is #i that is the most stable of them.

=====

#i
This record from Alexandria via LeMat-Bulk describes Sc2TcAu at its PBEsol-relaxed geometry. The functional is meta-GGA SCAN.

The structure in POSCAR format:
```
Sc2TcAu
1.0
4.598 0.000 0.000
2.299 3.982 0.000
2.299 1.327 3.754
Au Tc Sc
1 1 2
Direct
0.500 0.500 0.500
0.000 0.000 0.000
0.750 0.750 0.750
0.250 0.250 0.250
```

## Properties
SG: No. 225

=====

#ii
This record from Alexandria via LeMat-Bulk describes Sc2TcAu at its PBEsol-relaxed geometry. The functional is meta-GGA SCAN.

The structure in POSCAR format:
```
Sc2TcAu
1.0
3.077 0.000 0.000
1.538 2.664 0.000
1.538 0.888 9.315
Sc Tc Au
2 1 1
Direct
0.097 0.097 0.708
0.903 0.903 0.292
0.500 0.500 0.500
0.000 0.000 0.000
```

## Properties
SG: No. 166

=====

It is #i that is the most stable of them.

=====

#i
This record from Alexandria via LeMat-Bulk describes ScTc2Au at its PBEsol-relaxed geometry. The functional is meta-GGA SCAN.

The structure in POSCAR format:
```
ScTc2Au
1.0
-2.110 -1.799 0.696
-1.046 -0.383 -4.161
3.375 -4.141 -0.468
Tc Sc Au
2 1 1
Direct
0.000 0.000 0.712
0.000 0.000 0.288
0.500 0.500 0.500
0.500 0.500 0.000
```

## Properties
SG: No. 47

=====

#ii
This record from Alexandria via LeMat-Bulk describes ScTc2Au at its PBEsol-relaxed geometry. The functional is meta-GGA SCAN.

The structure in POSCAR format:
```
ScTc2Au
1.0
3.825 0.000 0.000
0.000 3.825 0.000
0.000 0.000 4.272
Tc Sc Au
2 1 1
Direct
0.000 0.500 0.000
0.500 0.000 0.000
0.000 0.000 0.500
0.500 0.500 0.500
```

## Properties
SG: No. 123

=====

It is #ii that is the most stable of them.

=====

#i
This record from Alexandria via LeMat-Bulk describes ScW2Au at its PBEsol-relaxed geometry. The functional is meta-GGA SCAN.

The structure in POSCAR format:
```
ScW2Au
1.0
-2.779 -1.661 -1.456
2.791 -2.994 -1.912
-0.318 -0.137 5.089
Au W Sc
1 2 1
Direct
0.496 0.496 0.992
0.733 0.233 0.465
0.014 0.014 0.027
0.258 0.758 0.515
```

## Properties
SG: No. 44

=====

#ii
This record from Alexandria via LeMat-Bulk describes ScW2Au at its PBEsol-relaxed geometry. The functional is meta-GGA SCAN.

The structure in POSCAR format:
```
ScW2Au
1.0
-0.829 -1.764 1.992
1.732 -1.390 -1.684
7.017 2.512 5.143
Au Sc W
1 1 2
Direct
0.000 0.000 0.504
0.500 0.500 0.248
0.500 0.500 0.757
0.000 0.000 0.991
```

## Properties
SG: No. 35

=====

It is #ii that is the most stable of them.

=====

#i
This record from Alexandria via LeMat-Bulk describes YScAu at its PBEsol-relaxed geometry. The functional is meta-GGA SCAN.

The structure in POSCAR format:
```
YScAu
1.0
-1.501 4.171 1.501
-3.895 1.871 -1.798
-3.875 0.292 2.608
Y Sc Au
1 1 1
Direct
0.750 0.750 0.750
0.500 0.500 0.500
0.000 0.000 0.000
```

## Properties
SG: No. 216

=====

#ii
This record from Alexandria via LeMat-Bulk describes YScAu at its PBEsol-relaxed geometry. The functional is meta-GGA SCAN.

The structure in POSCAR format:
```
YScAu
1.0
3.600 0.000 0.000
-1.800 3.118 0.000
0.000 0.000 6.660
Y Sc Au
1 1 1
Direct
0.667 0.333 0.297
0.333 0.667 0.718
0.000 0.000 0.985
```

## Properties
SG: No. 156

=====

It is #ii that is the most stable of them.

=====

#i
This record from Alexandria via LeMat-Bulk describes Zr3ScAu at its PBEsol-relaxed geometry. The functional is meta-GGA SCAN.

The structure in POSCAR format:
```
Zr3ScAu
1.0
-3.953 3.013 -1.240
1.174 -0.501 -4.961
-3.039 -4.112 -0.304
Zr Au Sc
3 1 1
Direct
0.000 0.500 0.000
0.000 0.000 0.500
0.500 0.000 0.000
0.000 0.000 0.000
0.500 0.500 0.500
```

## Properties
SG: No. 221

=====

#ii
This record from Alexandria via LeMat-Bulk describes Zr3ScAu at its PBEsol-relaxed geometry. The functional is meta-GGA SCAN.

The structure in POSCAR format:
```
Zr3ScAu
1.0
-0.448 -4.624 -1.395
4.786 -0.614 0.500
-0.653 -1.331 4.619
Au Zr Sc
1 3 1
Direct
0.500 0.500 0.500
0.500 0.000 0.000
0.000 0.000 0.500
0.000 0.500 0.000
0.000 0.000 0.000
```

## Properties
SG: No. 221

=====

It is #i that is the most stable of them.

=====

#i
This record from Alexandria via LeMat-Bulk describes AuSe4 at its PBEsol-relaxed geometry. The functional is meta-GGA SCAN.

The structure in POSCAR format:
```
AuSe4
1.0
-1.987 -4.943 -0.088
4.938 -0.106 1.999
-3.083 3.100 3.046
Se Au
4 1
Direct
0.000 0.500 0.000
0.500 0.500 0.500
0.500 0.000 0.000
0.000 0.000 0.500
0.000 0.000 0.000
```

## Properties
SG: No. 229

=====

#ii
This record from Alexandria via LeMat-Bulk describes AuSe4 at its PBEsol-relaxed geometry. The functional is meta-GGA SCAN.

The structure in POSCAR format:
```
AuSe4
1.0
3.455 0.000 0.000
1.727 6.181 0.000
1.727 0.000 6.181
Se Au
4 1
Direct
0.702 0.643 0.953
0.655 0.047 0.643
0.345 0.953 0.357
0.298 0.357 0.047
0.000 0.000 0.000
```

## Properties
SG: No. 87

=====

It is #ii that is the most stable of them.

=====

#i
This record from Alexandria via LeMat-Bulk describes Te2AuSe at its PBEsol-relaxed geometry. The functional is meta-GGA SCAN.

The structure in POSCAR format:
```
Te2AuSe
1.0
5.726 0.000 0.000
0.000 5.726 0.000
-2.863 -2.863 7.452
Te Au Se
4 2 2
Direct
0.362 0.875 0.250
0.888 0.375 0.250
0.625 0.638 0.750
0.125 0.112 0.750
0.250 0.750 0.500
0.000 0.000 0.000
0.500 0.500 0.000
0.750 0.250 0.500
```

## Properties
SG: No. 122

=====

#ii
This record from Alexandria via LeMat-Bulk describes Te2AuSe at its PBEsol-relaxed geometry. The functional is meta-GGA SCAN.

The structure in POSCAR format:
```
Te2AuSe
1.0
-0.557 0.516 4.072
-3.779 -1.668 -0.305
2.182 -5.119 0.948
Se Te Au
1 2 1
Direct
0.500 0.500 0.500
0.500 0.500 0.000
0.000 0.000 0.500
0.000 0.000 0.000
```

## Properties
SG: No. 123

=====

#iii
This record from Alexandria via LeMat-Bulk describes Te2AuSe at its PBEsol-relaxed geometry. The functional is meta-GGA SCAN.

The structure in POSCAR format:
```
Te2AuSe
1.0
-1.513 2.243 3.002
-3.777 1.416 -0.242
-4.113 -4.517 4.021
Te Se Au
2 1 1
Direct
0.762 0.762 0.714
0.999 0.999 0.004
0.235 0.235 0.296
0.505 0.505 0.485
```

## Properties
SG: No. 160

=====

It is #ii that is the most stable of them.

=====

#i
This record from Alexandria via LeMat-Bulk describes WAuSe2 at its PBEsol-relaxed geometry. The functional is meta-GGA SCAN.

The structure in POSCAR format:
```
WAuSe2
1.0
2.707 0.000 0.000
0.000 5.294 -0.025
0.000 -1.527 5.069
Se Au W
2 1 1
Direct
0.000 0.500 0.000
0.000 0.000 0.500
0.000 0.500 0.500
0.000 0.000 0.000
```

## Properties
SG: No. 65

=====

#ii
This record from Alexandria via LeMat-Bulk describes WAuSe2 at its PBEsol-relaxed geometry. The functional is meta-GGA SCAN.

The structure in POSCAR format:
```
WAuSe2
1.0
3.131 0.000 0.000
0.000 4.019 0.000
0.000 0.000 5.536
Au W Se
1 1 2
Direct
0.500 0.500 0.765
0.000 0.000 0.439
0.000 0.000 0.992
0.500 0.500 0.304
```

## Properties
SG: No. 25

=====

#iii
This record from Alexandria via LeMat-Bulk describes WAuSe2 at its PBEsol-relaxed geometry. The functional is meta-GGA SCAN.

The structure in POSCAR format:
```
WAuSe2
1.0
-2.909 1.504 0.950
-1.028 -2.981 1.571
4.455 1.324 5.428
Se W Au
2 1 1
Direct
0.285 0.500 0.569
0.982 0.000 0.965
0.163 0.000 0.326
0.568 0.500 0.136
```

## Properties
SG: No. 38

=====

It is #iii that is the most stable of them.

=====

#i
This record from Alexandria via LeMat-Bulk describes Si3Au at its PBEsol-relaxed geometry. The functional is meta-GGA SCAN.

The structure in POSCAR format:
```
Si3Au
1.0
2.692 0.000 0.000
-0.897 5.199 0.000
-0.897 -2.599 4.502
Si Au
3 1
Direct
0.500 0.000 0.500
0.000 0.500 0.500
0.500 0.500 0.000
0.000 0.000 0.000
```

## Properties
SG: No. 166

=====

#ii
This record from Alexandria via LeMat-Bulk describes Si3Au at its PBEsol-relaxed geometry. The functional is meta-GGA SCAN.

The structure in POSCAR format:
```
Si3Au
1.0
2.642 0.000 0.000
0.000 3.317 0.000
0.000 0.000 7.012
Si Au
3 1
Direct
0.000 0.000 0.500
0.500 0.500 0.736
0.500 0.500 0.264
0.000 0.000 0.000
```

## Properties
SG: No. 47

=====

It is #ii that is the most stable of them.

=====

#i
This record from Alexandria via LeMat-Bulk describes Si2WAu at its PBEsol-relaxed geometry. The functional is meta-GGA SCAN.

The structure in POSCAR format:
```
Si2WAu
1.0
3.266 0.000 0.000
0.000 4.187 0.209
0.000 -0.209 4.187
Si W Au
2 1 1
Direct
0.000 0.000 0.500
0.000 0.500 0.000
0.500 0.000 0.000
0.500 0.500 0.500
```

## Properties
SG: No. 123

=====

#ii
This record from Alexandria via LeMat-Bulk describes Si2WAu at its PBEsol-relaxed geometry. The functional is meta-GGA SCAN.

The structure in POSCAR format:
```
Si2WAu
1.0
2.829 0.004 0.000
-0.707 2.739 0.000
0.000 0.000 7.860
W Si Au
1 2 1
Direct
0.500 0.500 0.500
0.000 0.000 0.733
0.000 0.000 0.267
0.500 0.500 0.000
```

## Properties
SG: No. 65

=====

It is #i that is the most stable of them.

=====

#i
This record from Alexandria via LeMat-Bulk describes TlSn2Au2 at its PBEsol-relaxed geometry. The functional is meta-GGA SCAN.

The structure in POSCAR format:
```
TlSn2Au2
1.0
-2.820 3.763 -0.632
-3.146 -1.848 3.034
5.505 1.637 2.996
Sn Au Tl
2 2 1
Direct
0.750 0.250 0.500
0.250 0.750 0.500
0.379 0.379 0.758
0.621 0.621 0.242
0.000 0.000 0.000
```

## Properties
SG: No. 139

=====

#ii
This record from Alexandria via LeMat-Bulk describes TlSn2Au2 at its PBEsol-relaxed geometry. The functional is meta-GGA SCAN.

The structure in POSCAR format:
```
TlSn2Au2
1.0
-2.494 0.720 1.947
-4.776 -5.539 -4.068
2.421 -5.993 5.317
Au Sn Tl
4 4 2
Direct
0.000 0.347 0.847
0.000 0.653 0.153
0.000 0.847 0.653
0.000 0.153 0.347
0.500 0.857 0.357
0.500 0.357 0.143
0.500 0.643 0.857
0.500 0.143 0.643
0.000 0.500 0.500
0.000 0.000 0.000
```

## Properties
SG: No. 127

=====

It is #i that is the most stable of them.